# TlGa2Hg2, relaxed, DFT GGA-PBE
data_TlGa2Hg2
_chemical_formula_sum 'Tl2 Ga4 Hg4'
_cell_length_a 4.201
_cell_length_b 4.845
_cell_length_c 12.822
_cell_angle_alpha 99.20
_cell_angle_beta 90.40
_cell_angle_gamma 90.18
_symmetry_space_group_name_H-M 'P -1'
_symmetry_Int_Tables_number 2
loop_
_symmetry_equiv_pos_as_xyz
'x,y,z'
'-x,-y,-z'
loop_
_atom_site_label
_atom_site_type_symbol
_atom_site_fract_x
_atom_site_fract_y
_atom_site_fract_z
_atom_site_occupancy
Tl1 Tl 0.244 0.011 0.201 1
Ga1 Ga 0.248 0.407 0.424 1
Ga2 Ga 0.252 0.943 0.560 1
Hg1 Hg 0.252 0.699 0.959 1
Hg2 Hg 0.256 0.426 0.721 1
# - formation energy from the elements (eV per atom) = 0.01
# - relative energy among the computed polymorphs (meV/atom) = 0